[1]
Computed, not measured: a relaxed structure of CsBe3Os at the PBE-GGA level of DFT.

Properties
- calculated density (g cm⁻³) = 6.00
- total magnetization (μB per formula unit) = 0.000
- ΔE to the lowest computed polymorph (meV/atom) = 0

a b c (Å): 4.594 4.594 4.594
angles (deg): 90.00 90.00 90.00
Space group Pm-3m (No. 221)
Symmetry-distinct sites (fractional):
Cs (0.000, 0.000, 0.000) [1 per cell]
Be (0.000, 0.500, 0.500) [3 per cell]
Os (0.500, 0.500, 0.500) [1 per cell]


[2]
Computed, not measured: a relaxed structure of CsBeOs3 at the PBE-GGA level of DFT.

Properties
- calculated density (g cm⁻³) = 9.82
- total magnetization (μB per formula unit) = 3.975
- ΔE to the lowest computed polymorph (meV/atom) = 2368

a b c (Å): 4.939 4.939 4.939
angles (deg): 90.00 90.00 90.00
Space group Pm-3m (No. 221)
Symmetry-distinct sites (fractional):
Cs (0.000, 0.000, 0.000) [1 per cell]
Be (0.500, 0.500, 0.500) [1 per cell]
Os (0.000, 0.000, 0.500) [3 per cell]


[3]
Computed, not measured: a relaxed structure of CsBeOs3 at the PBE-GGA level of DFT.

Properties
- calculated density (g cm⁻³) = 13.55
- total magnetization (μB per formula unit) = 2.767
- ΔE to the lowest computed polymorph (meV/atom) = 0

a b c (Å): 4.437 4.437 4.437
angles (deg): 90.00 90.00 90.00
Space group Pm-3m (No. 221)
Symmetry-distinct sites (fractional):
Cs (0.000, 0.000, 0.000) [1 per cell]
Be (0.500, 0.500, 0.500) [1 per cell]
Os (0.000, 0.500, 0.500) [3 per cell]


[4]
Computed, not measured: a relaxed structure of CsBe2Os2 at the PBE-GGA level of DFT.

Properties
- calculated density (g cm⁻³) = 10.07
- total magnetization (μB per formula unit) = 0.000
- ΔE to the lowest computed polymorph (meV/atom) = 103

a b c (Å): 4.325 4.325 9.368
angles (deg): 90.00 90.00 90.00
Space group I4/mmm (No. 139)
Symmetry-distinct sites (fractional):
Cs (0.000, 0.000, 0.000) [2 per cell]
Be (0.000, 0.500, 0.250) [4 per cell]
Os (0.000, 0.000, 0.367) [4 per cell]


[5]
Computed, not measured: a relaxed structure of Cs2Be2Os at the PBE-GGA level of DFT.

Properties
- raw total energy (eV per atom) = -2.03
- calculated density (g cm⁻³) = 4.88
- total magnetization (μB per formula unit) = 2.313

a b c (Å): 10.064 10.064 3.187
angles (deg): 90.00 90.00 90.00
Space group P4/mbm (No. 127)
Symmetry-distinct sites (fractional):
Cs (0.207, 0.293, 0.000) [4 per cell]
Be (0.075, 0.575, 0.500) [4 per cell]
Os (0.000, 0.000, 0.000) [2 per cell]


[6]
Computed, not measured: a relaxed structure of CsBe2OsPt at the PBE-GGA level of DFT.

Properties
- raw total energy (eV per atom) = -3.59
- calculated density (g cm⁻³) = 8.32
- total magnetization (μB per formula unit) = 0.000

a b c (Å): 4.380 4.380 5.577
angles (deg): 90.00 90.00 90.00
Space group P4/mmm (No. 123)
Symmetry-distinct sites (fractional):
Cs (0.000, 0.000, 0.000) [1 per cell]
Be (0.000, 0.500, 0.500) [2 per cell]
Os (0.000, 0.000, 0.500) [1 per cell]
Pt (0.500, 0.500, 0.000) [1 per cell]


Repeat the first record exactly.
Computed, not measured: a relaxed structure of CsBe3Os at the PBE-GGA level of DFT.

Properties
- calculated density (g cm⁻³) = 6.00
- total magnetization (μB per formula unit) = 0.000
- ΔE to the lowest computed polymorph (meV/atom) = 0

a b c (Å): 4.594 4.594 4.594
angles (deg): 90.00 90.00 90.00
Space group Pm-3m (No. 221)
Symmetry-distinct sites (fractional):
Cs (0.000, 0.000, 0.000) [1 per cell]
Be (0.000, 0.500, 0.500) [3 per cell]
Os (0.500, 0.500, 0.500) [1 per cell]


Please write out number 5 again, unchanged.
Computed, not measured: a relaxed structure of Cs2Be2Os at the PBE-GGA level of DFT.

Properties
- raw total energy (eV per atom) = -2.03
- calculated density (g cm⁻³) = 4.88
- total magnetization (μB per formula unit) = 2.313

a b c (Å): 10.064 10.064 3.187
angles (deg): 90.00 90.00 90.00
Space group P4/mbm (No. 127)
Symmetry-distinct sites (fractional):
Cs (0.207, 0.293, 0.000) [4 per cell]
Be (0.075, 0.575, 0.500) [4 per cell]
Os (0.000, 0.000, 0.000) [2 per cell]